The following is a PBE calculation of crystalline TiSiTcRu at its relaxed geometry, from Alexandria via LeMat-Bulk.

Summary:
* Fermi-level density of states: 3.07 states/eV/f.u.
* formation energy from raw total energies: -0.685 eV/atom
* ΔE to the lowest computed polymorph: 24 meV per atom
* uncorrected energy: -8.925 eV per atom

Cell: 3.0692 4.2224 4.2344 Å, 90.00 90.00 90.00°
Last column: nearest neighbours and their distance in Å.
Space group Pmmm (No. 47)
Unique sites:
Ti1 0.0000 0.0000 0.0000 [1 per cell]  4 Tc 2.61, 4 Ru 2.61
Si1 0.0000 0.5000 0.5000 [1 per cell]  4 Ru 2.61, 4 Tc 2.61
Tc1 0.5000 0.5000 0.0000 [1 per cell]  4 Ti 2.61, 4 Si 2.61
Ru1 0.5000 0.0000 0.5000 [1 per cell]  4 Si 2.61, 4 Ti 2.61



The following is a PBE calculation of crystalline Rb3Tm2F9 at its relaxed geometry, from Alexandria via LeMat-Bulk.

Summary:
* Fermi-level density of states: 0.00 states/eV/f.u.
* formation energy from raw total energies: -3.539 eV/atom
* uncorrected energy: -5.588 eV per atom

Cell: 11.2349 11.2349 14.6474 Å, 90.00 90.00 120.00°
Last column: nearest neighbours and their distance in Å.
Space group R-3c (No. 167, hexagonal axes)
Unique sites:
Rb1 0.0000 0.3325 0.2500 [18 per cell]  12 F 3.05-3.40
Tm1 0.0000 0.0000 0.1389 [12 per cell]  6 F 2.08-2.24
F1 0.0000 0.1372 0.7500 [18 per cell]  2 Tm 2.24
F2 0.0148 0.1772 0.4164 [36 per cell]  1 Tm 2.08



The following is a PBE calculation of crystalline NaAsC3 at its relaxed geometry, from Alexandria via LeMat-Bulk.

Summary:
* Fermi-level density of states: 3.11 states/eV/f.u.
* ΔE to the lowest computed polymorph: 1356 meV per atom
* uncorrected energy: -2.976 eV per atom

Cell: 4.3224 4.3224 4.3224 Å, 90.00 90.00 90.00°
Last column: nearest neighbours and their distance in Å.
Space group Pm-3m (No. 221)
Unique sites:
Na1 0.0000 0.0000 0.0000 [1 per cell]  6 C 2.16
As1 0.5000 0.5000 0.5000 [1 per cell]  12 C 3.06
C1 0.0000 0.0000 0.5000 [3 per cell]  2 Na 2.16



The following is a PBE calculation of crystalline TlWBr at its relaxed geometry, from Alexandria via LeMat-Bulk.

Summary:
* Fermi-level density of states: 0.55 states/eV/f.u.
* formation energy from raw total energies: 0.813 eV/atom
* ΔE to the lowest computed polymorph: 183 meV per atom
* uncorrected energy: -4.852 eV per atom

Cell: 3.0503 3.0503 15.3693 Å, 90.00 90.00 90.00°
Last column: nearest neighbours and their distance in Å.
Space group I4mm (No. 107)
Unique sites:
Tl1 0.0000 0.0000 0.0000 [2 per cell]  4 Tl 3.05, 4 W 3.26
W1 0.0000 0.0000 0.3411 [2 per cell]  4 Br 2.68
Br1 0.0000 0.0000 0.7374 [2 per cell]  4 W 2.68



The following is a PBE calculation of crystalline CuRe2Hg at its relaxed geometry, from Alexandria via LeMat-Bulk.

Summary:
* Fermi-level density of states: 3.06 states/eV/f.u.
* uncorrected energy: -6.421 eV per atom

Cell: 3.7599 3.7599 19.6616 Å, 90.00 90.00 90.00°
Last column: nearest neighbours and their distance in Å.
Space group I-42d (No. 122)
Unique sites:
Cu1 0.0000 0.0000 0.0000 [4 per cell]  4 Hg 2.66, 4 Re 2.74
Re1 0.2012 0.2500 0.1250 [8 per cell]  2 Re 2.41
Hg1 0.0000 0.0000 0.5000 [4 per cell]  4 Cu 2.66, 4 Re 2.86



The following is a PBE calculation of crystalline Th4SnGe at its relaxed geometry, from Alexandria via LeMat-Bulk.

Summary:
* Fermi-level density of states: 3.32 states/eV/f.u.
* uncorrected energy: -6.891 eV per atom

Cell: 7.5651 7.5651 6.1832 Å, 90.00 90.00 90.00°
Last column: nearest neighbours and their distance in Å.
Space group P4/mcc (No. 124)
Unique sites:
Th1 0.1523 0.3318 0.0000 [8 per cell]  2 Ge 3.17, 2 Sn 3.31, 1 Th 3.43
Sn1 0.5000 0.5000 0.2500 [2 per cell]  2 Sn 3.09, 8 Th 3.31
Ge1 0.0000 0.0000 0.2500 [2 per cell]  2 Ge 3.09, 8 Th 3.17



The following is a PBE calculation of crystalline Y7Mg2Pd2 at its relaxed geometry, from Alexandria via LeMat-Bulk.

Summary:
* Fermi-level density of states: 14.32 states/eV/f.u.
* uncorrected energy: -5.528 eV per atom

Cell: 8.1261 11.1692 7.2500 Å, 90.00 90.00 90.00°
Last column: nearest neighbours and their distance in Å.
Space group Cmmm (No. 65)
Unique sites:
Y1 0.0000 0.0000 0.0000 [2 per cell]  2 Pd 3.23
Y2 0.0000 0.5000 0.2471 [4 per cell]  2 Pd 2.96, 2 Mg 3.24
Y3 0.2500 0.2500 0.2549 [8 per cell]  2 Pd 2.78
Mg1 0.1719 0.0000 0.5000 [4 per cell]  1 Mg 2.79
Pd1 0.0000 0.2892 0.0000 [4 per cell]  6 Y 2.78-2.96



The following is a PBE calculation of crystalline Ho4OsBr5 at its relaxed geometry, from Alexandria via LeMat-Bulk.

Summary:
* Fermi-level density of states: 6.00 states/eV/f.u.
* formation energy from raw total energies: -1.307 eV/atom
* uncorrected energy: -5.098 eV per atom

Cell: 18.5982 3.9904 8.6213 Å, 90.00 103.10 90.00°
Last column: nearest neighbours and their distance in Å.
Space group C2/m (No. 12)
Unique sites:
Ho1 0.0026 0.0000 0.2168 [4 per cell]  2 Os 2.73, 1 Br 3.03
Ho2 0.1458 0.5000 0.0763 [4 per cell]  1 Os 2.64, 4 Br 2.91-2.96
Os1 0.0000 0.5000 0.0000 [2 per cell]  6 Ho 2.64-2.73
Br1 0.0000 0.5000 0.5000 [2 per cell]  4 Ho 3.16
Br2 0.1693 0.0000 0.3282 [4 per cell]  3 Ho 2.91-3.03
Br3 0.1776 0.0000 0.8480 [4 per cell]  4 Ho 2.96-3.27



The following is a PBE calculation of crystalline ReOsAu2 at its relaxed geometry, from Alexandria via LeMat-Bulk.

Summary:
* Fermi-level density of states: 3.01 states/eV/f.u.
* ΔE to the lowest computed polymorph: 282 meV per atom
* uncorrected energy: -7.058 eV per atom

Cell: 9.3262 2.8078 4.9822 Å, 90.00 99.26 90.00°
Last column: nearest neighbours and their distance in Å.
Space group Cm (No. 8)
Unique sites:
Re1 0.0000 0.0000 0.0000 [2 per cell]  3 Os 2.65-2.77, 7 Au 2.78-2.94, 2 Re 2.81
Os1 0.2360 0.5000 0.1893 [2 per cell]  3 Re 2.65-2.77, 7 Au 2.77-2.95, 2 Os 2.81
Au1 0.2452 0.0000 0.7122 [2 per cell]  5 Au 2.72-2.85, 4 Os 2.77-2.95, 3 Re 2.89-2.93
Au2 0.4892 0.0000 0.4786 [2 per cell]  5 Au 2.72-2.85, 4 Re 2.78-2.94, 3 Os 2.91-2.92



The following is a PBE calculation of crystalline DyPaCuRu at its relaxed geometry, from Alexandria via LeMat-Bulk.

Summary:
* Fermi-level density of states: 4.16 states/eV/f.u.
* uncorrected energy: -7.064 eV per atom

Cell: 6.8719 6.8719 6.8719 Å, 90.00 90.00 90.00°
Last column: nearest neighbours and their distance in Å.
Space group F-43m (No. 216)
Unique sites:
Dy1 0.0000 0.0000 0.0000 [4 per cell]  4 Cu 2.98, 4 Ru 2.98
Pa1 0.0000 0.0000 0.5000 [4 per cell]  4 Ru 2.98, 4 Cu 2.98
Cu1 0.2500 0.2500 0.7500 [4 per cell]  4 Pa 2.98, 4 Dy 2.98
Ru1 0.2500 0.2500 0.2500 [4 per cell]  4 Dy 2.98, 4 Pa 2.98



The following is a PBE calculation of crystalline ZnCdSn3 at its relaxed geometry, from Alexandria via LeMat-Bulk.

Summary:
* Fermi-level density of states: 1.82 states/eV/f.u.
* ΔE to the lowest computed polymorph: 301 meV per atom
* uncorrected energy: -2.176 eV per atom

Cell: 5.5370 5.5370 5.5370 Å, 90.00 90.00 90.00°
Last column: nearest neighbours and their distance in Å.
Space group Pm-3m (No. 221)
Unique sites:
Zn1 0.0000 0.0000 0.0000 [1 per cell]  12 Sn 3.92
Cd1 0.5000 0.5000 0.5000 [1 per cell]  6 Sn 2.77
Sn1 0.0000 0.5000 0.5000 [3 per cell]  2 Cd 2.77



The following is a PBE calculation of crystalline Ac2AlGaSe6 at its relaxed geometry, from Alexandria via LeMat-Bulk.

Summary:
* formation energy from raw total energies: -1.315 eV/atom
* uncorrected energy: -4.905 eV per atom

Cell: 6.7561 7.6524 12.0908 Å, 90.00 123.61 90.00°
Last column: nearest neighbours and their distance in Å.
Space group P2_1/c (No. 14)
Unique sites:
Ac1 0.2079 0.1130 0.2489 [4 per cell]  8 Se 3.13-3.39
Al1 0.5000 0.0000 0.0000 [2 per cell]  4 Se 2.50-2.55
Ga1 0.0000 0.0000 0.5000 [2 per cell]  4 Se 2.54-2.64
Se1 0.1486 0.1726 0.9562 [4 per cell]  1 Al 2.50
Se2 0.2683 0.6752 0.9560 [4 per cell]  1 Ga 2.54, 1 Al 2.83
Se3 0.3466 0.5095 0.2543 [4 per cell]  1 Al 2.55, 1 Ga 2.64



The following is a PBE calculation of crystalline Be2GaCu2 at its relaxed geometry, from Alexandria via LeMat-Bulk.

Summary:
* Fermi-level density of states: 1.16 states/eV/f.u.
* ΔE to the lowest computed polymorph: 77 meV per atom
* uncorrected energy: -3.619 eV per atom

Cell: 3.1343 3.1343 12.0259 Å, 90.00 90.00 90.00°
Last column: nearest neighbours and their distance in Å.
Space group I4/mmm (No. 139)
Unique sites:
Be1 0.0000 0.5000 0.2500 [4 per cell]  4 Be 2.22, 4 Cu 2.30
Ga1 0.0000 0.0000 0.0000 [2 per cell]  8 Cu 2.58
Cu1 0.0000 0.0000 0.3899 [4 per cell]  4 Be 2.30



The following is a PBE calculation of crystalline Ba2Sr8Ca at its relaxed geometry, from Alexandria via LeMat-Bulk.

Summary:
* Fermi-level density of states: 13.57 states/eV/f.u.
* ΔE to the lowest computed polymorph: 79 meV per atom
* uncorrected energy: -1.667 eV per atom

Cell: 6.6516 6.6516 14.4560 Å, 90.00 90.00 90.00°
Last column: nearest neighbours and their distance in Å.
Space group P4/mmm (No. 123)
Unique sites:
Ba1 0.0000 0.0000 0.1761 [2 per cell]  8 Sr 4.19, 1 Ca 4.68
Sr1 0.0000 0.5000 0.0000 [2 per cell]  4 Sr 4.11, 4 Ba 4.19
Sr2 0.0000 0.5000 0.3521 [4 per cell]  2 Ca 3.95, 2 Ba 4.19, 3 Sr 4.26-4.28
Sr3 0.5000 0.5000 0.1675 [2 per cell]  8 Sr 4.11-4.26
Ca1 0.0000 0.0000 0.5000 [1 per cell]  8 Sr 3.95



The following is a PBE calculation of crystalline ZrTa3Te at its relaxed geometry, from Alexandria via LeMat-Bulk.

Summary:
* Fermi-level density of states: 6.21 states/eV/f.u.
* formation energy from raw total energies: 1.797 eV/atom
* ΔE to the lowest computed polymorph: 355 meV per atom
* uncorrected energy: -7.653 eV per atom

Cell: 4.9809 4.9809 4.9809 Å, 90.00 90.00 90.00°
Last column: nearest neighbours and their distance in Å.
Space group Pm-3m (No. 221)
Unique sites:
Zr1 0.0000 0.0000 0.0000 [1 per cell]  6 Ta 2.49
Ta1 0.0000 0.0000 0.5000 [3 per cell]  2 Zr 2.49
Te1 0.5000 0.5000 0.5000 [1 per cell]  12 Ta 3.52



The following is a PBE calculation of crystalline RbOs2Cl8 at its relaxed geometry, from Alexandria via LeMat-Bulk.

Summary:
* Fermi-level density of states: 3.62 states/eV/f.u.
* formation energy from raw total energies: -0.513 eV/atom
* uncorrected energy: -3.986 eV per atom

Cell: 4.9262 7.5546 9.3610 Å, 108.64 104.04 90.82°
Last column: nearest neighbours and their distance in Å.
Space group P-1 (No. 2)
Unique sites:
Rb1 0.0000 0.0000 0.0000 [1 per cell]  6 Cl 3.36-3.64
Os1 0.3017 0.4099 0.6155 [2 per cell]  6 Cl 2.27-2.50
Cl1 0.2080 0.1264 0.4229 [2 per cell]  1 Os 2.27
Cl2 0.2112 0.5606 0.4141 [2 per cell]  3 Os 2.45-2.50
Cl3 0.3888 0.2761 0.8084 [2 per cell]  1 Os 2.30
Cl4 0.3948 0.7107 0.8009 [2 per cell]  1 Os 2.33



The following is a PBE calculation of crystalline Ag2Bi2PdO6 at its relaxed geometry, from Alexandria via LeMat-Bulk.

Summary:
* Fermi-level density of states: 0.90 states/eV/f.u.
* formation energy from raw total energies: -0.605 eV/atom
* uncorrected energy: -5.006 eV per atom

Cell: 5.8684 10.7506 6.3908 Å, 90.00 97.38 90.00°
Last column: nearest neighbours and their distance in Å.
Space group C2/m (No. 12)
Unique sites:
Ag1 0.0000 0.1361 0.0000 [4 per cell]  2 O 2.09
Bi1 0.0000 0.3414 0.5000 [4 per cell]  4 O 2.30-2.37
Pd1 0.0000 0.0000 0.5000 [2 per cell]  6 O 2.06-2.07
O1 0.1203 0.1410 0.3228 [8 per cell]  1 Pd 2.07, 1 Ag 2.09
O2 0.1733 0.5000 0.3383 [4 per cell]  1 Pd 2.06, 2 Bi 2.30



The following is a PBE calculation of crystalline YMg2 at its relaxed geometry, from Alexandria via LeMat-Bulk.

Summary:
* Fermi-level density of states: 3.00 states/eV/f.u.
* uncorrected energy: -3.191 eV per atom

Cell: 12.9123 3.3215 7.7142 Å, 90.00 103.55 90.00°
Last column: nearest neighbours and their distance in Å.
Space group Cm (No. 8)
Unique sites:
Y1 0.0000 0.0000 0.0000 [2 per cell]  8 Mg 3.31-3.59, 4 Y 3.32-3.46
Y2 0.1794 0.5000 0.3351 [2 per cell]  8 Mg 3.28-3.52, 4 Y 3.32-3.46
Mg1 0.1270 0.5000 0.7334 [2 per cell]  9 Mg 3.25-3.63, 3 Y 3.30-3.35
Mg2 0.2835 0.0000 0.0513 [2 per cell]  7 Mg 3.17-3.49, 4 Y 3.28-3.35
Mg3 0.3396 0.0000 0.6730 [2 per cell]  7 Mg 3.17-3.33, 4 Y 3.31-3.36
Mg4 0.4526 0.5000 0.4046 [2 per cell]  8 Mg 3.25-3.49, 4 Y 3.32-3.52



The following is a PBE calculation of crystalline PmNd8N6 at its relaxed geometry, from Alexandria via LeMat-Bulk.

Summary:
* Fermi-level density of states: 7.91 states/eV/f.u.
* formation energy from raw total energies: -1.102 eV/atom
* uncorrected energy: -7.292 eV per atom

Cell: 6.3327 6.3327 27.9028 Å, 90.00 90.00 120.00°
Last column: nearest neighbours and their distance in Å.
Space group R-3 (No. 148, hexagonal axes)
Unique sites:
Pm1 0.0000 0.0000 0.0000 [3 per cell]  6 N 2.62
Nd1 0.0000 0.0000 0.3333 [6 per cell]  6 N 2.63
Nd2 0.0001 0.3333 0.2317 [18 per cell]  3 N 2.46-2.47
N1 0.0000 0.3315 0.0562 [18 per cell]  5 Nd 2.46-2.63, 1 Pm 2.62



The following is a PBE calculation of crystalline Ti3SnO at its relaxed geometry, from Alexandria via LeMat-Bulk.

Summary:
* Fermi-level density of states: 5.85 states/eV/f.u.
* formation energy from raw total energies: -1.165 eV/atom
* ΔE to the lowest computed polymorph: 8 meV per atom
* uncorrected energy: -7.694 eV per atom

Cell: 5.8174 12.2840 4.2194 Å, 90.00 90.00 90.00°
Last column: nearest neighbours and their distance in Å.
Space group Cmmm (No. 65)
Unique sites:
Ti1 0.0000 0.1296 0.0000 [4 per cell]  2 O 2.11
Ti2 0.2348 0.0000 0.5000 [4 per cell]  2 O 2.06
Ti3 0.2500 0.2500 0.5000 [4 per cell]  2 O 2.11
Sn1 0.0000 0.3721 0.0000 [4 per cell]  11 Ti 2.91-3.05, 1 Sn 3.14
O1 0.0000 0.1258 0.5000 [4 per cell]  6 Ti 2.06-2.11